[1]
La7Pm3Er after structural relaxation. Source: Alexandria via LeMat-Bulk, functional GGA-PBE.

Summary:
Magnetization (μB per formula unit): 0.00
Crystal system: monoclinic
Electronic total energy (eV/atom): -4.636
Energy relative to the elements (eV/atom): 0.210

```
data_La7Pm3Er
_symmetry_space_group_name_H-M 'P 1'
_symmetry_Int_Tables_number 1
_symmetry_space_group_name_Hall 'P 1'
_cell_length_a 8.692
_cell_length_b 8.692
_cell_length_c 6.071
_cell_angle_alpha 110.30
_cell_angle_beta 110.30
_cell_angle_gamma 83.16
loop_
_atom_site_label
_atom_site_type_symbol
_atom_site_fract_x
_atom_site_fract_y
_atom_site_fract_z
La1 La 0.000 0.000 0.000
La2 La 0.096 0.514 0.304
La3 La 0.289 0.289 0.789
La4 La 0.486 0.904 0.696
La5 La 0.514 0.096 0.304
La6 La 0.711 0.711 0.211
La7 La 0.904 0.486 0.696
Pm1 Pm 0.293 0.707 0.000
Pm2 Pm 0.500 0.500 0.500
Pm3 Pm 0.707 0.293 0.000
Er1 Er 0.000 0.000 0.500
```

=====

[2]
Rb2CrGeCl6 after structural relaxation. Source: Alexandria via LeMat-Bulk, functional GGA-PBE.

Summary:
Magnetization (μB per formula unit): 4.00
Formation energy (no corrections) (eV/f.u.): -13.22
Crystal system: tetragonal
Electronic total energy (eV/atom): -4.048

```
data_Rb2CrGeCl6
_symmetry_space_group_name_H-M 'P 1'
_symmetry_Int_Tables_number 1
_symmetry_space_group_name_Hall 'P 1'
_cell_length_a 7.281
_cell_length_b 7.281
_cell_length_c 7.281
_cell_angle_alpha 119.95
_cell_angle_beta 119.95
_cell_angle_gamma 90.08
loop_
_atom_site_label
_atom_site_type_symbol
_atom_site_fract_x
_atom_site_fract_y
_atom_site_fract_z
Rb1 Rb 0.250 0.750 0.500
Rb2 Rb 0.750 0.250 0.500
Cr1 Cr 0.000 0.000 0.000
Ge1 Ge 0.500 0.500 0.000
Cl1 Cl 0.241 0.241 0.000
Cl2 Cl 0.242 0.242 0.484
Cl3 Cl 0.242 0.758 0.000
Cl4 Cl 0.758 0.242 0.000
Cl5 Cl 0.758 0.758 0.516
Cl6 Cl 0.759 0.759 0.000
```

=====

[3]
KBa2Zn3F12 after structural relaxation. Source: Alexandria via LeMat-Bulk, functional GGA-PBE.

Summary:
Magnetization (μB per formula unit): 1.10
Formation energy (no corrections) (eV/f.u.): -49.29
Crystal system: trigonal
Electronic total energy (eV/atom): -4.473

```
data_KBa2Zn3F12
_symmetry_space_group_name_H-M 'P 1'
_symmetry_Int_Tables_number 1
_symmetry_space_group_name_Hall 'P 1'
_cell_length_a 7.188
_cell_length_b 7.188
_cell_length_c 7.188
_cell_angle_alpha 62.74
_cell_angle_beta 62.74
_cell_angle_gamma 62.74
loop_
_atom_site_label
_atom_site_type_symbol
_atom_site_fract_x
_atom_site_fract_y
_atom_site_fract_z
K1 K 0.000 0.000 0.000
Ba1 Ba 0.386 0.386 0.386
Ba2 Ba 0.614 0.614 0.614
Zn1 Zn 0.000 0.000 0.500
Zn2 Zn 0.000 0.500 0.000
Zn3 Zn 0.500 0.000 0.000
F1 F 0.136 0.719 0.719
F2 F 0.144 0.144 0.549
F3 F 0.144 0.549 0.144
F4 F 0.281 0.281 0.864
F5 F 0.281 0.864 0.281
F6 F 0.451 0.856 0.856
F7 F 0.549 0.144 0.144
F8 F 0.719 0.136 0.719
F9 F 0.719 0.719 0.136
F10 F 0.856 0.451 0.856
F11 F 0.856 0.856 0.451
F12 F 0.864 0.281 0.281
```

=====

[4]
Ba4HRh2 after structural relaxation. Source: Alexandria via LeMat-Bulk, functional GGA-PBE.

Summary:
Magnetization (μB per formula unit): 0.00
Crystal system: monoclinic
Excess energy over the best structure of this formula in the dataset (eV per atom): 0.000
Electronic total energy (eV/atom): -3.824

```
data_Ba4HRh2
_symmetry_space_group_name_H-M 'P 1'
_symmetry_Int_Tables_number 1
_symmetry_space_group_name_Hall 'P 1'
_cell_length_a 8.207
_cell_length_b 8.207
_cell_length_c 7.742
_cell_angle_alpha 116.33
_cell_angle_beta 116.33
_cell_angle_gamma 31.24
loop_
_atom_site_label
_atom_site_type_symbol
_atom_site_fract_x
_atom_site_fract_y
_atom_site_fract_z
Ba1 Ba 0.124 0.124 0.439
Ba2 Ba 0.365 0.365 0.008
Ba3 Ba 0.635 0.635 0.992
Ba4 Ba 0.876 0.876 0.561
H1 H 0.000 0.000 0.000
Rh1 Rh 0.273 0.273 0.278
Rh2 Rh 0.727 0.727 0.722
```

=====

[5]
La5Mg after structural relaxation. Source: Alexandria via LeMat-Bulk, functional GGA-PBE.

Summary:
Magnetization (μB per formula unit): 0.00
Crystal system: tetragonal
Excess energy over the best structure of this formula in the dataset (eV per atom): 0.000
Electronic total energy (eV/atom): -4.404
Energy relative to the elements (eV/atom): -0.032

```
data_La5Mg
_symmetry_space_group_name_H-M 'P 1'
_symmetry_Int_Tables_number 1
_symmetry_space_group_name_Hall 'P 1'
_cell_length_a 3.776
_cell_length_b 3.776
_cell_length_c 14.678
_cell_angle_alpha 90.00
_cell_angle_beta 90.00
_cell_angle_gamma 90.00
loop_
_atom_site_label
_atom_site_type_symbol
_atom_site_fract_x
_atom_site_fract_y
_atom_site_fract_z
La1 La 0.000 0.000 0.000
La2 La 0.000 0.000 0.351
La3 La 0.000 0.000 0.649
La4 La 0.500 0.500 0.179
La5 La 0.500 0.500 0.821
Mg1 Mg 0.500 0.500 0.500
```

=====

[6]
LiHoMgSi after structural relaxation. Source: Alexandria via LeMat-Bulk, functional GGA-PBE.

Summary:
Magnetization (μB per formula unit): 0.00
Formation energy (no corrections) (eV/f.u.): -0.91
Crystal system: cubic
Electronic total energy (eV/atom): -3.606

```
data_LiHoMgSi
_symmetry_space_group_name_H-M 'P 1'
_symmetry_Int_Tables_number 1
_symmetry_space_group_name_Hall 'P 1'
_cell_length_a 4.775
_cell_length_b 4.775
_cell_length_c 4.775
_cell_angle_alpha 60.00
_cell_angle_beta 60.00
_cell_angle_gamma 60.00
loop_
_atom_site_label
_atom_site_type_symbol
_atom_site_fract_x
_atom_site_fract_y
_atom_site_fract_z
Li1 Li 0.000 0.000 0.000
Ho1 Ho 0.250 0.250 0.250
Mg1 Mg 0.750 0.750 0.750
Si1 Si 0.500 0.500 0.500
```

=====

[7]
Ba6Ag2H after structural relaxation. Source: Alexandria via LeMat-Bulk, functional GGA-PBE.

Summary:
Magnetization (μB per formula unit): 0.00
Crystal system: monoclinic
Excess energy over the best structure of this formula in the dataset (eV per atom): 0.073
Electronic total energy (eV/atom): -2.408

```
data_Ba6Ag2H
_symmetry_space_group_name_H-M 'P 1'
_symmetry_Int_Tables_number 1
_symmetry_space_group_name_Hall 'P 1'
_cell_length_a 8.001
_cell_length_b 8.001
_cell_length_c 13.270
_cell_angle_alpha 112.22
_cell_angle_beta 112.22
_cell_angle_gamma 32.37
loop_
_atom_site_label
_atom_site_type_symbol
_atom_site_fract_x
_atom_site_fract_y
_atom_site_fract_z
Ba1 Ba 0.015 0.015 0.275
Ba2 Ba 0.184 0.184 0.605
Ba3 Ba 0.347 0.347 0.949
Ba4 Ba 0.653 0.653 0.051
Ba5 Ba 0.816 0.816 0.395
Ba6 Ba 0.985 0.985 0.725
Ag1 Ag 0.326 0.326 0.201
Ag2 Ag 0.674 0.674 0.799
H1 H 0.000 0.000 0.500
```

=====

[8]
Zn3MoAs after structural relaxation. Source: Alexandria via LeMat-Bulk, functional GGA-PBE.

Summary:
Magnetization (μB per formula unit): 0.80
Crystal system: cubic
Excess energy over the best structure of this formula in the dataset (eV per atom): 0.074
Electronic total energy (eV/atom): -2.679
Energy relative to the elements (eV/atom): 1.182

```
data_Zn3MoAs
_symmetry_space_group_name_H-M 'P 1'
_symmetry_Int_Tables_number 1
_symmetry_space_group_name_Hall 'P 1'
_cell_length_a 4.875
_cell_length_b 4.875
_cell_length_c 4.875
_cell_angle_alpha 90.00
_cell_angle_beta 90.00
_cell_angle_gamma 90.00
loop_
_atom_site_label
_atom_site_type_symbol
_atom_site_fract_x
_atom_site_fract_y
_atom_site_fract_z
Zn1 Zn 0.000 0.000 0.500
Zn2 Zn 0.000 0.500 0.000
Zn3 Zn 0.500 0.000 0.000
Mo1 Mo 0.000 0.000 0.000
As1 As 0.500 0.500 0.500
```

=====

[9]
Zr2NiHg after structural relaxation. Source: Alexandria via LeMat-Bulk, functional GGA-PBE.

Summary:
Magnetization (μB per formula unit): 0.00
Crystal system: tetragonal
Electronic total energy (eV/atom): -5.994
Energy relative to the elements (eV/atom): -0.199

```
data_Zr2NiHg
_symmetry_space_group_name_H-M 'P 1'
_symmetry_Int_Tables_number 1
_symmetry_space_group_name_Hall 'P 1'
_cell_length_a 3.352
_cell_length_b 3.352
_cell_length_c 6.913
_cell_angle_alpha 90.00
_cell_angle_beta 90.00
_cell_angle_gamma 90.00
loop_
_atom_site_label
_atom_site_type_symbol
_atom_site_fract_x
_atom_site_fract_y
_atom_site_fract_z
Zr1 Zr 0.000 0.000 0.000
Zr2 Zr 0.500 0.500 0.296
Ni1 Ni 0.500 0.500 0.805
Hg1 Hg 0.000 0.000 0.569
```

=====

magnetization of number 4 (Ba4HRh2)? 0.00 μB per formula unit

=====

Which value of electronic total energy does entry 2 give? -4.048 eV/atom